*i*
MgTaCd3 | PBE | optimized geometry

Theoretical density in g/cm3: 5.7
D(E_F) in states/eV/f.u.: 6.733
V in Å³ per cell: 158

Cell: 5.4074 5.4074 5.4074 Å, 90.00 90.00 90.00°
Atoms (fractional coordinates):
1 Cd 0.0000 0.5000 0.0000
2 Cd 0.0000 0.0000 0.5000
3 Cd 0.5000 0.0000 0.0000
4 Mg 0.5000 0.5000 0.5000
5 Ta 0.0000 0.0000 0.0000


*ii*
MgTaCd3 | PBE | optimized geometry

Theoretical density in g/cm3: 7.5
D(E_F) in states/eV/f.u.: 3.605
V in Å³ per cell: 120

Cell: 4.9317 4.9317 4.9317 Å, 90.00 90.00 90.00°
Atoms (fractional coordinates):
1 Cd 0.5000 0.0000 0.0000
2 Cd 0.0000 0.0000 0.5000
3 Cd 0.0000 0.5000 0.0000
4 Ta 0.5000 0.5000 0.5000
5 Mg 0.0000 0.0000 0.0000


Top of the stability list: *i*, leading by 197 meV per atom.


*i*
Mg3TaCd | PBE | optimized geometry

Theoretical density in g/cm3: 4.8
D(E_F) in states/eV/f.u.: 3.467
V in Å³ per cell: 127

Cell: 5.0252 5.0252 5.0252 Å, 90.00 90.00 90.00°
Atoms (fractional coordinates):
1 Mg 0.0000 0.5000 0.0000
2 Mg 0.0000 0.0000 0.5000
3 Mg 0.5000 0.0000 0.0000
4 Ta 0.5000 0.5000 0.5000
5 Cd 0.0000 0.0000 0.0000


*ii*
Mg3TaCd | PBE | optimized geometry

Theoretical density in g/cm3: 3.7
D(E_F) in states/eV/f.u.: 4.447
V in Å³ per cell: 165

Cell: 5.4807 5.4807 5.4807 Å, 90.00 90.00 90.00°
Atoms (fractional coordinates):
1 Mg 0.5000 0.0000 0.0000
2 Mg 0.0000 0.0000 0.5000
3 Mg 0.0000 0.5000 0.0000
4 Cd 0.5000 0.5000 0.5000
5 Ta 0.0000 0.0000 0.0000


Top of the stability list: *i*, leading by 117 meV per atom.


*i*
Y2MgTaCd | PBE | optimized geometry

Theoretical density in g/cm3: 5.2
D(E_F) in states/eV/f.u.: 3.747
V in Å³ per cell: 159

Cell: 5.3711 5.5121 5.3711 Å, 90.00 90.00 90.00°
Atoms (fractional coordinates):
1 Ta 0.0000 0.0000 0.0000
2 Mg 0.5000 0.5000 0.5000
3 Y 0.5000 0.0000 0.0000
4 Y 0.0000 0.0000 0.5000
5 Cd 0.0000 0.5000 0.0000


*ii*
Y2MgTaCd | PBE | optimized geometry

Theoretical density in g/cm3: 5.7
D(E_F) in states/eV/f.u.: 2.729
V in Å³ per cell: 145

Cell: 5.4012 4.9681 5.4012 Å, 90.00 90.00 90.00°
Atoms (fractional coordinates):
1 Cd 0.5000 0.5000 0.5000
2 Y 0.5000 0.0000 0.0000
3 Y 0.0000 0.0000 0.5000
4 Mg 0.0000 0.0000 0.0000
5 Ta 0.0000 0.5000 0.0000


Top of the stability list: *i*, leading by 311 meV per atom.


*i*
TbMg3Cd | PBE | optimized geometry

Theoretical density in g/cm3: 4.6
D(E_F) in states/eV/f.u.: 3.077
V in Å³ per cell: 495

Cell: 3.7207 9.9554 13.3630 Å, 90.00 90.00 90.00°
Atoms (fractional coordinates):
1 Mg 0.2500 0.0814 0.4149
2 Mg 0.7500 0.9186 0.5851
3 Mg 0.2500 0.8473 0.2005
4 Mg 0.7500 0.1527 0.7995
5 Mg 0.7500 0.4186 0.9149
6 Mg 0.2500 0.5814 0.0851
7 Mg 0.2500 0.4062 0.7185
8 Mg 0.7500 0.5938 0.2815
9 Mg 0.7500 0.6527 0.7005
10 Mg 0.2500 0.3473 0.2995
11 Mg 0.7500 0.0938 0.2185
12 Mg 0.2500 0.9062 0.7815
13 Cd 0.7500 0.3590 0.1280
14 Cd 0.7500 0.8590 0.3720
15 Cd 0.2500 0.6410 0.8720
16 Cd 0.2500 0.1410 0.6280
17 Tb 0.2500 0.6521 0.4935
18 Tb 0.7500 0.8479 0.9935
19 Tb 0.2500 0.1521 0.0065
20 Tb 0.7500 0.3479 0.5065


*ii*
TbMg3Cd | PBE | optimized geometry

Theoretical density in g/cm3: 4.7
D(E_F) in states/eV/f.u.: 3.138
V in Å³ per cell: 244

Cell: 3.3811 7.9505 9.5036 Å, 72.89 89.99 90.00°
Atoms (fractional coordinates):
1 Cd 0.8799 0.8392 0.1513
2 Cd 0.3801 0.8355 0.6550
3 Mg 0.8827 0.6509 0.4776
4 Mg 0.3806 0.4327 0.7568
5 Mg 0.3824 0.0240 0.3286
6 Mg 0.8813 0.2426 0.0481
7 Mg 0.3816 0.0199 0.8852
8 Mg 0.8807 0.6545 0.9214
9 Tb 0.8803 0.2004 0.5632
10 Tb 0.3801 0.4741 0.2431


Top of the stability list: *ii*, leading by 6 meV per atom.


*i*
TbMg2Cd | PBE | optimized geometry

Theoretical density in g/cm3: 5.4
D(E_F) in states/eV/f.u.: 3.264
V in Å³ per cell: 98

Cell: 3.3980 3.3980 8.4735 Å, 90.00 90.00 90.00°
Atoms (fractional coordinates):
1 Mg 0.0000 0.0000 0.7806
2 Mg 0.0000 0.0000 0.2194
3 Tb 0.5000 0.5000 0.5000
4 Cd 0.5000 0.5000 0.0000


*ii*
TbMg2Cd | PBE | optimized geometry

Theoretical density in g/cm3: 5.6
D(E_F) in states/eV/f.u.: 2.043
V in Å³ per cell: 95

Cell: 5.1179 5.1179 5.1184 Å, 90.56 119.68 119.68°
Atoms (fractional coordinates):
1 Mg 0.6251 0.0625 0.6876
2 Mg 0.1249 0.8125 0.9375
3 Cd 0.6249 0.5625 0.1874
4 Tb 0.1250 0.3125 0.4375


*iii*
TbMg2Cd | PBE | optimized geometry

Theoretical density in g/cm3: 5.7
D(E_F) in states/eV/f.u.: 1.921
V in Å³ per cell: 94

Cell: 5.0950 5.0950 5.0950 Å, 60.00 60.00 60.00°
Atoms (fractional coordinates):
1 Mg 0.2500 0.2500 0.2500
2 Mg 0.7500 0.7500 0.7500
3 Cd 0.5000 0.5000 0.5000
4 Tb 0.0000 0.0000 0.0000


*iv*
TbMg2Cd | PBE | optimized geometry

Theoretical density in g/cm3: 5.3
D(E_F) in states/eV/f.u.: 3.010
V in Å³ per cell: 101

Cell: 3.3450 3.3450 10.7978 Å, 80.54 80.54 58.04°
Atoms (fractional coordinates):
1 Mg 0.0784 0.0784 0.7685
2 Mg 0.2606 0.2606 0.2328
3 Tb 0.4903 0.4903 0.4982
4 Cd 0.6707 0.6707 0.0005


Top of the stability list: *ii*, leading by 72 meV per atom.